First-principles (PBE-GGA) data for a relaxed structure of TlFeSe2N, as listed in Alexandria.

Results
space-group type: P4/mmm, No. 123
magnetization: 0.3 μB/f.u.
raw total energy: -5.02 eV per atom
offset from the most stable computed form: 0 meV per atom
Fermi-level density of states: 5.33 states/eV per cell
formation energy from raw total energies: 0.207 eV per atom

Cell: 5.176 5.176 3.445 Å, 90.00 90.00 90.00°
Fractional coordinates of all 5 atoms:
Tl 0.000 0.000 0.000
Fe 0.500 0.500 0.500
Se 0.000 0.500 0.500
Se 0.500 0.000 0.500
N 0.500 0.500 0.000


First-principles (PBE-GGA) data for a relaxed structure of HfScAg, as listed in Alexandria.

Results
space-group type: Cm, No. 8
magnetization: 0.0 μB/f.u.
DFT formation energy: -0.07 eV per atom
raw total energy: -6.45 eV per atom
offset from the most stable computed form: 75 meV per atom
Fermi-level density of states: 5.39 states/eV per cell

Cell: 5.360 5.360 8.469 Å, 112.89 112.89 34.65°
Fractional coordinates of all 6 atoms:
Hf 0.000 0.000 0.000
Hf 0.654 0.654 0.802
Sc 0.314 0.314 0.144
Sc 0.652 0.652 0.353
Ag 0.333 0.333 0.668
Ag 0.974 0.974 0.484


First-principles (PBE-GGA) data for a relaxed structure of LiTmMg, as listed in Alexandria.

Results
space-group type: P3m1, No. 156
magnetization: 0.0 μB/f.u.
DFT formation energy: 0.09 eV per atom
raw total energy: -2.57 eV per atom
offset from the most stable computed form: 113 meV per atom
Fermi-level density of states: 2.78 states/eV per cell

Cell: 3.321 3.321 7.887 Å, 90.00 90.00 120.00°
Fractional coordinates of all 3 atoms:
Li 0.000 0.000 0.000
Tm 0.333 0.667 0.653
Mg 0.667 0.333 0.308


First-principles (PBE-GGA) data for a relaxed structure of HfH2F, as listed in Alexandria.

Results
space-group type: I-42d, No. 122
magnetization: 0.0 μB/f.u.
raw total energy: -5.42 eV per atom
Fermi-level density of states: 3.32 states/eV per cell

Cell: 7.085 7.085 7.085 Å, 152.62 152.62 39.10°
Fractional coordinates of all 8 atoms:
Hf 0.000 0.000 0.000
Hf 0.750 0.250 0.500
H 0.037 0.125 0.412
H 0.375 0.963 0.088
H 0.713 0.625 0.588
H 0.875 0.287 0.912
F 0.250 0.750 0.500
F 0.500 0.500 0.000